Mo2HW | GGA-PBE | relaxed

Structure (POSCAR):
```
Mo2HW
1.0
-0.3861 -3.1513 2.9152
-1.8624 0.7995 3.8040
-3.8815 -1.6502 0.8885
Mo W H
2 1 1
Direct
0.7500 0.7500 0.7500
0.2500 0.2500 0.2500
0.5000 0.5000 0.5000
0.0000 0.0000 0.0000
```

Output
M_tot: 0.00 μB/cell
Crystal system: cubic
Final energy: -34.36 eV for the cell shown
Energy above the lowest structure with this stoichiometry: 0.3690 eV/atom
Volume: 14.2 Å³ per atom

LiCd7Pd2 | GGA-PBE | relaxed

Structure (POSCAR):
```
LiCd7Pd2
1.0
-3.3136 -3.2606 -2.2687
5.0201 -1.2106 -5.5924
0.3204 -4.5604 6.0863
Cd Pd Li
7 2 1
Direct
0.5000 0.9300 0.6966
0.5000 0.6966 0.9300
0.5000 0.3034 0.0700
0.5000 0.5000 0.5000
0.0000 0.2487 0.7513
0.0000 0.7513 0.2487
0.5000 0.0700 0.3034
0.5000 0.7078 0.2922
0.5000 0.2922 0.7078
0.0000 0.0000 0.0000
```

Output
M_tot: 0.00 μB/cell
Crystal system: orthorhombic
Final energy: -19.30 eV for the cell shown
ΔH_f (0 K): -60 meV/atom
Volume: 26.5 Å³ per atom